Entry from Alexandria via LeMat-Bulk: a geometry-optimized Be5Au6 structure (PBE).

a b c (Å): 7.1507 7.1507 4.1345
angles (deg): 105.87 105.87 49.14
Closest atoms and distances in Å follow each position.
Fractional positions:
1 Be 0.0000 0.0000 0.0000  8 Au 2.53-2.56
2 Be 0.1654 0.1654 0.6642  8 Au 2.55-2.58, 1 Be 2.85
3 Be 0.3281 0.3281 0.3312  8 Au 2.54-2.58
4 Be 0.6719 0.6719 0.6688  8 Au 2.54-2.58
5 Be 0.8346 0.8346 0.3358  8 Au 2.55-2.58, 1 Be 2.85
6 Au 0.0899 0.5831 0.8390  7 Be 2.53-2.58
7 Au 0.2545 0.7455 0.5000  6 Be 2.55-2.58
8 Au 0.4169 0.9101 0.1610  7 Be 2.53-2.58
9 Au 0.5831 0.0899 0.8390  7 Be 2.53-2.58
10 Au 0.7455 0.2545 0.5000  6 Be 2.55-2.58
11 Au 0.9101 0.4169 0.1610  7 Be 2.53-2.58

* formation energy: -0.118 eV per atom
* energy relative to the lowest polymorph listed for this composition: 0.000 eV/atom
* total magnetization: 0.00 μB per formula unit
* DOS at the Fermi energy: 0.246 states/eV per atom
* calculated volume: 152.5 Å³/f.u.


Entry from Alexandria via LeMat-Bulk: a geometry-optimized BeAu2 structure (PBE).

a b c (Å): 6.9943 6.9943 4.4386
angles (deg): 90.00 90.00 155.49
Closest atoms and distances in Å follow each position.
Fractional positions:
1 Be 0.0707 0.9293 0.7500  8 Au 2.41-2.67
2 Be 0.9293 0.0707 0.2500  8 Au 2.41-2.67
3 Au 0.2902 0.7098 0.2500  2 Be 2.41
4 Au 0.4276 0.5724 0.7500  6 Be 2.46-2.67
5 Au 0.5724 0.4276 0.2500  6 Be 2.46-2.67
6 Au 0.7098 0.2902 0.7500  2 Be 2.41

* formation energy: -0.103 eV per atom
* energy relative to the lowest polymorph listed for this composition: 0.025 eV/atom
* total magnetization: 0.00 μB per formula unit
* DOS at the Fermi energy: 0.117 states/eV per atom
* calculated volume: 45.0 Å³/f.u.


Entry from Alexandria via LeMat-Bulk: a geometry-optimized BeAu structure (PBE).

a b c (Å): 8.8777 7.0585 5.8212
angles (deg): 86.58 52.53 40.89
Closest atoms and distances in Å follow each position.
Fractional positions:
1 Be 0.0274 0.2226 0.0274  1 Be 2.19, 4 Au 2.31-2.37
2 Be 0.2226 0.0274 0.2226  1 Be 2.19, 4 Au 2.31-2.37
3 Be 0.7774 0.9726 0.7774  1 Be 2.19, 4 Au 2.31-2.37
4 Be 0.9726 0.7774 0.9726  1 Be 2.19, 4 Au 2.31-2.37
5 Au 0.0274 0.0274 0.7226  4 Be 2.31-2.37
6 Au 0.2774 0.2774 0.9726  4 Be 2.31-2.37
7 Au 0.7226 0.7226 0.0274  4 Be 2.31-2.37
8 Au 0.9726 0.9726 0.2774  4 Be 2.31-2.37

* formation energy: 0.104 eV per atom
* total magnetization: 0.00 μB per formula unit
* DOS at the Fermi energy: 0.289 states/eV per atom
* calculated volume: 30.2 Å³/f.u.


Entry from Alexandria via LeMat-Bulk: a geometry-optimized BeAu2 structure (PBE).

a b c (Å): 3.1331 3.1331 10.9599
angles (deg): 90.00 90.00 120.00
Closest atoms and distances in Å follow each position.
Fractional positions:
1 Be 0.0000 0.0000 0.2500  6 Au 2.39
2 Be 0.0000 0.0000 0.7500  6 Au 2.39
3 Au 0.3333 0.6667 0.1081  3 Be 2.39
4 Au 0.3333 0.6667 0.3919  3 Be 2.39
5 Au 0.6667 0.3333 0.6081  3 Be 2.39
6 Au 0.6667 0.3333 0.8919  3 Be 2.39

* formation energy: -0.091 eV per atom
* energy relative to the lowest polymorph listed for this composition: 0.037 eV/atom
* total magnetization: 0.00 μB per formula unit
* DOS at the Fermi energy: 0.244 states/eV per atom
* calculated volume: 46.6 Å³/f.u.


Entry from Alexandria via LeMat-Bulk: a geometry-optimized BeAu structure (PBE).

a b c (Å): 3.8612 3.8612 13.1597
angles (deg): 90.00 90.00 120.00
Closest atoms and distances in Å follow each position.
Fractional positions:
1 Be 0.0000 0.0000 0.1990  3 Be 2.38, 4 Au 2.41-2.61
2 Be 0.0000 0.0000 0.8010  3 Be 2.38, 4 Au 2.41-2.61
3 Be 0.3333 0.6667 0.1346  3 Be 2.38, 4 Au 2.41-2.61
4 Be 0.3333 0.6667 0.5318  3 Be 2.38, 4 Au 2.42-2.62
5 Be 0.6667 0.3333 0.4682  3 Be 2.38, 4 Au 2.42-2.62
6 Be 0.6667 0.3333 0.8654  3 Be 2.38, 4 Au 2.41-2.61
7 Au 0.0000 0.0000 0.3974  4 Be 2.42-2.61, 1 Au 2.70
8 Au 0.0000 0.0000 0.6026  4 Be 2.42-2.61, 1 Au 2.70
9 Au 0.3333 0.6667 0.7307  4 Be 2.41-2.62, 1 Au 2.70
10 Au 0.3333 0.6667 0.9360  4 Be 2.41-2.61, 1 Au 2.70
11 Au 0.6667 0.3333 0.0640  4 Be 2.41-2.61, 1 Au 2.70
12 Au 0.6667 0.3333 0.2693  4 Be 2.41-2.62, 1 Au 2.70

* formation energy: 0.036 eV per atom
* total magnetization: 0.00 μB per formula unit
* DOS at the Fermi energy: 0.255 states/eV per atom
* calculated volume: 28.3 Å³/f.u.


Entry from Alexandria via LeMat-Bulk: a geometry-optimized BeAu structure (PBE).

a b c (Å): 3.4361 3.4361 3.4361
angles (deg): 60.00 60.00 60.00
Closest atoms and distances in Å follow each position.
Fractional positions:
1 Be 0.0000 0.0000 0.0000  6 Au 2.43
2 Au 0.5000 0.5000 0.5000  6 Be 2.43

* formation energy: 0.093 eV per atom
* total magnetization: 0.00 μB per formula unit
* DOS at the Fermi energy: 0.177 states/eV per atom
* calculated volume: 28.7 Å³/f.u.


Entry from Alexandria via LeMat-Bulk: a geometry-optimized Be4Au3 structure (PBE).

a b c (Å): 9.9110 9.9110 9.9110
angles (deg): 162.55 162.55 24.78
Closest atoms and distances in Å follow each position.
Fractional positions:
1 Be 0.0684 0.0684 0.0000  5 Au 2.40-2.50, 5 Be 2.44-2.65
2 Be 0.3698 0.3698 0.0000  4 Be 2.44, 5 Au 2.44-2.52
3 Be 0.6302 0.6302 0.0000  4 Be 2.44, 5 Au 2.44-2.52
4 Be 0.9316 0.9316 0.0000  5 Au 2.40-2.50, 5 Be 2.44-2.65
5 Au 0.1922 0.1922 0.0000  5 Be 2.40-2.44
6 Au 0.5000 0.5000 0.0000  10 Be 2.50-2.52
7 Au 0.8078 0.8078 0.0000  5 Be 2.40-2.44

* formation energy: -0.099 eV per atom
* energy relative to the lowest polymorph listed for this composition: 0.000 eV/atom
* total magnetization: 0.00 μB per formula unit
* DOS at the Fermi energy: 0.268 states/eV per atom
* calculated volume: 87.5 Å³/f.u.


Entry from Alexandria via LeMat-Bulk: a geometry-optimized BeAu4 structure (PBE).

a b c (Å): 4.4410 4.4410 4.4410
angles (deg): 90.00 90.00 90.00
Closest atoms and distances in Å follow each position.
Fractional positions:
1 Be 0.0000 0.0000 0.0000  6 Au 2.22
2 Au 0.0000 0.0000 0.5000  2 Be 2.22
3 Au 0.0000 0.5000 0.0000  2 Be 2.22
4 Au 0.5000 0.0000 0.0000  2 Be 2.22
5 Au 0.5000 0.5000 0.5000  12 Au 3.14

* formation energy: 0.223 eV per atom
* energy relative to the lowest polymorph listed for this composition: 0.304 eV/atom
* total magnetization: 0.00 μB per formula unit
* DOS at the Fermi energy: 0.339 states/eV per atom
* calculated volume: 87.6 Å³/f.u.


Entry from Alexandria via LeMat-Bulk: a geometry-optimized BeAu5 structure (PBE).

a b c (Å): 5.3506 5.3506 7.3358
angles (deg): 113.51 113.51 31.53
Closest atoms and distances in Å follow each position.
Fractional positions:
1 Be 0.0000 0.0000 0.0000  8 Au 2.40-2.68
2 Au 0.0016 0.0016 0.5019  12 Au 2.86-3.16
3 Au 0.3191 0.3191 0.6989  2 Be 2.66, 3 Au 2.89-2.91
4 Au 0.3756 0.3756 0.1337  2 Be 2.40
5 Au 0.6271 0.6271 0.8705  2 Be 2.40
6 Au 0.6834 0.6834 0.3044  2 Be 2.68, 5 Au 2.89-2.99

* formation energy: -0.042 eV per atom
* energy relative to the lowest polymorph listed for this composition: 0.027 eV/atom
* total magnetization: 0.00 μB per formula unit
* DOS at the Fermi energy: 0.232 states/eV per atom
* calculated volume: 99.9 Å³/f.u.


Entry from Alexandria via LeMat-Bulk: a geometry-optimized BeAu structure (PBE).

a b c (Å): 3.6215 3.6215 4.3395
angles (deg): 90.00 90.00 90.00
Closest atoms and distances in Å follow each position.
Fractional positions:
1 Be 0.2500 0.7500 0.0000  4 Au 2.35, 4 Be 2.56
2 Be 0.7500 0.2500 0.0000  4 Au 2.35, 4 Be 2.56
3 Au 0.2500 0.2500 0.3450  4 Be 2.35
4 Au 0.7500 0.7500 0.6550  4 Be 2.35

* formation energy: -0.104 eV per atom
* total magnetization: 0.00 μB per formula unit
* DOS at the Fermi energy: 0.037 states/eV per atom
* calculated volume: 28.5 Å³/f.u.


Entry from Alexandria via LeMat-Bulk: a geometry-optimized BeAu5 structure (PBE).

a b c (Å): 7.7050 7.7050 7.7050
angles (deg): 136.87 136.87 62.64
Closest atoms and distances in Å follow each position.
Fractional positions:
1 Be 0.2500 0.2500 0.0000  8 Au 2.48
2 Be 0.7500 0.7500 0.0000  8 Au 2.48
3 Au 0.0000 0.0000 0.0000  8 Au 2.84
4 Au 0.0325 0.5325 0.8588  2 Be 2.48
5 Au 0.1737 0.0325 0.5000  2 Be 2.48
6 Au 0.3263 0.8263 0.8588  2 Be 2.48
7 Au 0.4675 0.3263 0.5000  2 Be 2.48
8 Au 0.5000 0.5000 0.0000  8 Au 2.84
9 Au 0.5325 0.6737 0.5000  2 Be 2.48
10 Au 0.6737 0.1737 0.1412  2 Be 2.48
11 Au 0.8263 0.9675 0.5000  2 Be 2.48
12 Au 0.9675 0.4675 0.1412  2 Be 2.48

* formation energy: -0.031 eV per atom
* energy relative to the lowest polymorph listed for this composition: 0.037 eV/atom
* total magnetization: 0.00 μB per formula unit
* DOS at the Fermi energy: 0.225 states/eV per atom
* calculated volume: 105.6 Å³/f.u.


Entry from Alexandria via LeMat-Bulk: a geometry-optimized Be4Au3 structure (PBE).

a b c (Å): 5.3467 5.3467 4.0882
angles (deg): 90.00 90.00 120.00
Closest atoms and distances in Å follow each position.
Fractional positions:
1 Be 0.0000 0.0000 0.2472  2 Be 2.02-2.07
2 Be 0.0000 0.0000 0.7528  2 Be 2.02-2.07
3 Be 0.3333 0.6667 0.0000  6 Au 2.56
4 Be 0.6667 0.3333 0.0000  6 Au 2.56
5 Au 0.0000 0.5000 0.5000  8 Be 2.56-2.87, 4 Au 2.67
6 Au 0.5000 0.0000 0.5000  8 Be 2.56-2.87, 4 Au 2.67
7 Au 0.5000 0.5000 0.5000  8 Be 2.56-2.87, 4 Au 2.67

* formation energy: 0.393 eV per atom
* energy relative to the lowest polymorph listed for this composition: 0.491 eV/atom
* total magnetization: 0.00 μB per formula unit
* DOS at the Fermi energy: 0.235 states/eV per atom
* calculated volume: 101.2 Å³/f.u.